Record 1
Density functional theory data (PBE-GGA) for an optimized crystal structure of TaFeAg2.

Calculated values
**N(E_F)**: 0.89 states/eV per atom
**Calculated density**: 11.4 g/cm³
**VASP energy**: -24.36 eV per cell
**Spin magnetization**: 2.82 μB/f.u.
**Energy of formation from the pure elements**: 0.415 eV per atom
**Calculated volume**: 65.66 Å³ per cell

Lattice parameters (Å, degrees): 2.8037 2.8037 8.3527 90.00 90.00 90.00
Fractional coordinates of all 4 atoms:
Ta: 0.0000 0.0000 0.0000
Fe: 0.0000 0.0000 0.5000
Ag: 0.5000 0.5000 0.2663
Ag: 0.5000 0.5000 0.7337

=====

Record 2
Density functional theory data (PBE-GGA) for an optimized crystal structure of FeRe2Si.

Calculated values
**Formation energy without anion corrections**: 0.06 eV per atom
**N(E_F)**: 0.85 states/eV per atom
**Calculated density**: 14.1 g/cm³
**VASP energy**: -77.08 eV per cell
**Spin magnetization**: 0.00 μB/f.u.
**Calculated volume**: 107.28 Å³ per cell

Lattice parameters (Å, degrees): 8.7025 2.7532 4.5542 90.00 100.53 90.00
Fractional coordinates of all 8 atoms:
Fe: 0.0000 0.0000 0.0000
Fe: 0.5000 0.5000 0.0000
Re: 0.2444 0.5000 0.2443
Re: 0.2556 0.0000 0.7557
Re: 0.7444 0.0000 0.2443
Re: 0.7556 0.5000 0.7557
Si: 0.0000 0.5000 0.5000
Si: 0.5000 0.0000 0.5000

=====

Record 3
Density functional theory data (PBE-GGA) for an optimized crystal structure of BaYRu2.

Calculated values
**N(E_F)**: 0.77 states/eV per atom
**Calculated density**: 6.2 g/cm³
**VASP energy**: -52.89 eV per cell
**Spin magnetization**: 0.00 μB/f.u.
**Energy of formation from the pure elements**: 0.123 eV per atom
**Calculated volume**: 228.11 Å³ per cell

Lattice parameters (Å, degrees): 4.2707 4.5450 11.7520 90.00 90.00 90.00
Fractional coordinates of all 8 atoms:
Ba: 0.0000 0.0000 0.0000
Ba: 0.0000 0.5000 0.5000
Y: 0.5000 0.0000 0.7259
Y: 0.5000 0.5000 0.2259
Ru: 0.0000 0.0000 0.2837
Ru: 0.0000 0.5000 0.7837
Ru: 0.5000 0.0000 0.3698
Ru: 0.5000 0.5000 0.8698

=====

Record 4
Density functional theory data (PBE-GGA) for an optimized crystal structure of HfMoBr3.

Calculated values
**Formation energy without anion corrections**: 0.79 eV per atom
**N(E_F)**: 1.62 states/eV per atom
**Calculated density**: 6.0 g/cm³
**VASP energy**: -21.85 eV per cell
**Spin magnetization**: 4.38 μB/f.u.
**Calculated volume**: 142.30 Å³ per cell

Lattice parameters (Å, degrees): 5.2207 5.2207 5.2207 90.00 90.00 90.00
Fractional coordinates of all 5 atoms:
Hf: 0.0000 0.0000 0.0000
Mo: 0.5000 0.5000 0.5000
Br: 0.0000 0.5000 0.5000
Br: 0.5000 0.0000 0.5000
Br: 0.5000 0.5000 0.0000

=====

Record 5
Density functional theory data (PBE-GGA) for an optimized crystal structure of NdSm3.

Calculated values
**N(E_F)**: 1.62 states/eV per atom
**Calculated density**: 7.3 g/cm³
**VASP energy**: -18.86 eV per cell
**Spin magnetization**: 0.00 μB/f.u.
**Energy of formation from the pure elements**: 0.016 eV per atom
**Calculated volume**: 136.29 Å³ per cell

Lattice parameters (Å, degrees): 5.1462 5.1462 5.1462 90.00 90.00 90.00
Fractional coordinates of all 4 atoms:
Nd: 0.0000 0.0000 0.0000
Sm: 0.0000 0.5000 0.5000
Sm: 0.5000 0.0000 0.5000
Sm: 0.5000 0.5000 0.0000

=====

Record 6
Density functional theory data (PBE-GGA) for an optimized crystal structure of K2CaMn.

Calculated values
**N(E_F)**: 1.14 states/eV per atom
**Calculated density**: 1.7 g/cm³
**VASP energy**: -21.27 eV per cell
**Spin magnetization**: 4.24 μB/f.u.
**Energy of formation from the pure elements**: 0.683 eV per atom
**Calculated volume**: 333.00 Å³ per cell

Lattice parameters (Å, degrees): 7.1131 13.6083 3.8834 90.00 117.64 90.00
Fractional coordinates of all 8 atoms:
K: 0.2500 0.2500 0.0000
K: 0.2500 0.7500 0.0000
K: 0.7500 0.2500 0.0000
K: 0.7500 0.7500 0.0000
Ca: 0.0000 0.0000 0.5000
Ca: 0.5000 0.5000 0.5000
Mn: 0.0000 0.5000 0.5000
Mn: 0.5000 0.0000 0.5000

=====

Record 7
Density functional theory data (PBE-GGA) for an optimized crystal structure of PmY2Cu.

Calculated values
**N(E_F)**: 1.27 states/eV per atom
**Calculated density**: 5.5 g/cm³
**VASP energy**: -65.05 eV per cell
**Spin magnetization**: 0.00 μB/f.u.
**Energy of formation from the pure elements**: 0.023 eV per atom
**Calculated volume**: 348.01 Å³ per cell

Lattice parameters (Å, degrees): 3.7170 3.7170 29.0858 90.00 90.00 120.00
Fractional coordinates of all 12 atoms:
Pm: 0.0000 0.0000 0.0000
Pm: 0.3333 0.6667 0.6667
Pm: 0.6667 0.3333 0.3333
Y: 0.0000 0.0000 0.5641
Y: 0.0000 0.0000 0.7668
Y: 0.3333 0.6667 0.2307
Y: 0.3333 0.6667 0.4334
Y: 0.6667 0.3333 0.1001
Y: 0.6667 0.3333 0.8974
Cu: 0.0000 0.0000 0.1648
Cu: 0.3333 0.6667 0.8314
Cu: 0.6667 0.3333 0.4981

=====

Record 8
Density functional theory data (PBE-GGA) for an optimized crystal structure of Zn4Ga2Pb.

Calculated values
**N(E_F)**: 0.55 states/eV per atom
**Calculated density**: 5.2 g/cm³
**VASP energy**: -23.19 eV per cell
**Spin magnetization**: 0.00 μB/f.u.
**Energy of formation from the pure elements**: 0.466 eV per atom
**Calculated volume**: 387.64 Å³ per cell

Lattice parameters (Å, degrees): 5.4160 5.4160 13.2151 90.00 90.00 90.00
Fractional coordinates of all 14 atoms:
Zn: 0.0000 0.0000 0.2136
Zn: 0.0000 0.0000 0.7864
Zn: 0.0000 0.5000 0.0000
Zn: 0.0000 0.5000 0.5000
Zn: 0.5000 0.0000 0.0000
Zn: 0.5000 0.0000 0.5000
Zn: 0.5000 0.5000 0.2864
Zn: 0.5000 0.5000 0.7136
Ga: 0.0000 0.0000 0.4047
Ga: 0.0000 0.0000 0.5953
Ga: 0.5000 0.5000 0.0953
Ga: 0.5000 0.5000 0.9047
Pb: 0.0000 0.0000 0.0000
Pb: 0.5000 0.5000 0.5000

=====

Record 9
Density functional theory data (PBE-GGA) for an optimized crystal structure of NdGaNiIr.

Calculated values
**N(E_F)**: 0.60 states/eV per atom
**Calculated density**: 10.8 g/cm³
**VASP energy**: -47.02 eV per cell
**Spin magnetization**: 0.00 μB/f.u.
**Energy of formation from the pure elements**: -0.268 eV per atom
**Calculated volume**: 143.47 Å³ per cell

Lattice parameters (Å, degrees): 4.3972 3.3319 9.7923 90.00 90.00 90.00
Fractional coordinates of all 8 atoms:
Nd: 0.0000 0.0000 0.0000
Nd: 0.0000 0.5000 0.5000
Ga: 0.5000 0.0000 0.3562
Ga: 0.5000 0.5000 0.8562
Ni: 0.0000 0.0000 0.2595
Ni: 0.0000 0.5000 0.7595
Ir: 0.5000 0.0000 0.6527
Ir: 0.5000 0.5000 0.1527

=====

Record 10
Density functional theory data (PBE-GGA) for an optimized crystal structure of PmMgAu6.

Calculated values
**N(E_F)**: 0.40 states/eV per atom
**Calculated density**: 14.2 g/cm³
**VASP energy**: -29.40 eV per cell
**Spin magnetization**: 0.00 μB/f.u.
**Energy of formation from the pure elements**: -0.424 eV per atom
**Calculated volume**: 158.02 Å³ per cell

Lattice parameters (Å, degrees): 4.3385 4.3385 8.3953 90.00 90.00 90.00
Fractional coordinates of all 8 atoms:
Pm: 0.0000 0.0000 0.0000
Mg: 0.0000 0.0000 0.5000
Au: 0.0000 0.5000 0.2664
Au: 0.0000 0.5000 0.7336
Au: 0.5000 0.0000 0.2664
Au: 0.5000 0.0000 0.7336
Au: 0.5000 0.5000 0.0000
Au: 0.5000 0.5000 0.5000

=====

Record 11
Density functional theory data (PBE-GGA) for an optimized crystal structure of LaBeNiP2.

Calculated values
**N(E_F)**: 0.27 states/eV per atom
**Calculated density**: 5.6 g/cm³
**VASP energy**: -59.45 eV per cell
**Spin magnetization**: 0.00 μB/f.u.
**Energy of formation from the pure elements**: -0.894 eV per atom
**Calculated volume**: 159.16 Å³ per cell

Lattice parameters (Å, degrees): 3.7599 3.7599 11.2582 90.00 90.00 90.00
Fractional coordinates of all 10 atoms:
La: 0.0000 0.0000 0.0000
La: 0.5000 0.5000 0.5000
Be: 0.0000 0.5000 0.2500
Be: 0.5000 0.0000 0.7500
Ni: 0.0000 0.5000 0.7500
Ni: 0.5000 0.0000 0.2500
P: 0.0000 0.0000 0.3607
P: 0.0000 0.0000 0.6393
P: 0.5000 0.5000 0.1393
P: 0.5000 0.5000 0.8607

=====

Record 12
Density functional theory data (PBE-GGA) for an optimized crystal structure of Nd2PPd.

Calculated values
**N(E_F)**: 0.89 states/eV per atom
**Calculated density**: 6.7 g/cm³
**VASP energy**: -72.47 eV per cell
**Spin magnetization**: 0.00 μB/f.u.
**Energy of formation from the pure elements**: -1.005 eV per atom
**Calculated volume**: 314.83 Å³ per cell

Lattice parameters (Å, degrees): 4.0924 4.0924 21.7071 90.00 90.00 120.00
Fractional coordinates of all 12 atoms:
Nd: 0.0000 0.0000 0.0000
Nd: 0.0000 0.0000 0.1782
Nd: 0.3333 0.6667 0.6667
Nd: 0.3333 0.6667 0.8449
Nd: 0.6667 0.3333 0.3333
Nd: 0.6667 0.3333 0.5116
P: 0.0000 0.0000 0.5900
P: 0.3333 0.6667 0.2566
P: 0.6667 0.3333 0.9233
Pd: 0.0000 0.0000 0.7553
Pd: 0.3333 0.6667 0.4219
Pd: 0.6667 0.3333 0.0886